(1)
Below is a geometry-optimized BaGa3PtRh structure, with properties calculated at the GGA-PBE level.

Summary:
Formation energy from the elements   -0.60 eV per atom

Lattice parameters (Å, degrees): 7.2155 11.9287 6.5040 90.00 90.00 90.00
With the nearest neighbours (Å) after each atom.
Space group Cmcm (No. 63)
Asymmetric unit:
Ba 0.0000 0.2392 0.2500  4 Ga 3.27-3.61, 1 Rh 3.55
Ga 0.0000 0.2705 0.7500  1 Rh 2.30, 1 Pt 2.37
Ga 0.2439 0.0000 0.0000  2 Rh 2.50, 2 Pt 2.54
Pt 0.0000 0.0716 0.7500  5 Ga 2.37-2.54
Rh 0.0000 0.4635 0.7500  5 Ga 2.30-2.50



(2)
Below is a geometry-optimized LiHfB structure, with properties calculated at the GGA-PBE level.

Summary:
Formation energy from the elements   -0.08 eV per atom
Offset from the most stable computed form   275.9 meV per atom

Lattice parameters (Å, degrees): 4.0402 4.0402 16.3352 90.00 90.00 120.00
With the nearest neighbours (Å) after each atom.
Space group R3m (No. 160, hexagonal axes)
Asymmetric unit:
Li 0.0000 0.0000 0.0000  1 B 2.19
Li 0.0000 0.0000 0.3890  3 B 2.39, 3 Li 2.50
Hf 0.0000 0.0000 0.1543  6 B 2.45-2.58, 1 Li 2.52
Hf 0.0000 0.0000 0.6066  4 B 2.41-2.63, 3 Li 2.53
B 0.0000 0.0000 0.7540  1 B 1.83
B 0.0000 0.0000 0.8660  1 B 1.83



(3)
Below is a geometry-optimized Y2ZrCl structure, with properties calculated at the GGA-PBE level.

Summary:
ΔE_f (raw)   -0.032 eV/atom
Offset from the most stable computed form   585.4 meV per atom

Lattice parameters (Å, degrees): 3.3623 5.3145 6.0044 90.00 90.00 90.00
With the nearest neighbours (Å) after each atom.
Space group Pmmm (No. 47)
Asymmetric unit:
Y 0.0000 0.0000 0.0000  4 Cl 3.14, 6 Y 3.36-3.44
Y 0.5000 0.0000 0.5000  4 Zr 3.14, 6 Y 3.36-3.44
Zr 0.0000 0.5000 0.5000  4 Y 3.14, 2 Zr 3.36, 4 Cl 3.44
Cl 0.5000 0.5000 0.0000  4 Y 3.14, 2 Cl 3.36, 4 Zr 3.44



(4)
Below is a geometry-optimized SiNi2W structure, with properties calculated at the GGA-PBE level.

Summary:
ΔE_f (raw)   -0.211 eV/atom

Lattice parameters (Å, degrees): 2.7392 2.7392 6.5009 90.00 90.00 90.00
With the nearest neighbours (Å) after each atom.
Space group P4/mmm (No. 123)
Asymmetric unit:
Si 0.0000 0.0000 0.0000  8 Ni 2.36
Ni 0.5000 0.5000 0.2074  4 Si 2.36
W 0.0000 0.0000 0.5000  8 Ni 2.71, 4 W 2.74



(5)
Below is a geometry-optimized SiGe3Sb structure, with properties calculated at the GGA-PBE level.

Summary:
ΔE_f (raw)   0.537 eV/atom
Offset from the most stable computed form   0.0 meV per atom

Lattice parameters (Å, degrees): 4.8504 4.8504 4.8504 90.00 90.00 90.00
With the nearest neighbours (Å) after each atom.
Space group Pm-3m (No. 221)
Asymmetric unit:
Si 0.0000 0.0000 0.0000  6 Ge 2.43
Ge 0.0000 0.0000 0.5000  2 Si 2.43
Sb 0.5000 0.5000 0.5000  12 Ge 3.43



(6)
Below is a geometry-optimized Ge2AuCl8 structure, with properties calculated at the GGA-PBE level.

Summary:
ΔE_f (raw)   -0.627 eV/atom
Offset from the most stable computed form   0.0 meV per atom

Lattice parameters (Å, degrees): 14.3671 10.0753 6.9266 90.00 112.87 90.00
With the nearest neighbours (Å) after each atom.
Space group C2/m (No. 12)
Asymmetric unit:
Ge 0.2201 0.0000 0.3337  4 Cl 2.18-2.42
Au 0.0000 0.0000 0.5000  2 Cl 2.30
Cl 0.1142 0.5000 0.5488  1 Ge 2.20
Cl 0.1529 0.1769 0.1503  1 Ge 2.18
Cl 0.1734 0.0000 0.6340  1 Au 2.30, 1 Ge 2.42



(7)
Below is a geometry-optimized Cs3KB structure, with properties calculated at the GGA-PBE level.

Summary:
Formation energy from the elements   1.27 eV per atom

Lattice parameters (Å, degrees): 8.3303 8.3303 8.3303 90.00 90.00 90.00
With the nearest neighbours (Å) after each atom.
Space group Pm-3m (No. 221)
Asymmetric unit:
Cs 0.0000 0.0000 0.5000  2 K 4.17
K 0.0000 0.0000 0.0000  6 Cs 4.17
B 0.5000 0.5000 0.5000  12 Cs 5.89



(8)
Below is a geometry-optimized LiSiPb structure, with properties calculated at the GGA-PBE level.

Summary:
ΔE_f (raw)   0.145 eV/atom
Offset from the most stable computed form   192.8 meV per atom

Lattice parameters (Å, degrees): 6.6398 6.6398 6.6398 90.00 90.00 90.00
With the nearest neighbours (Å) after each atom.
Space group F-43m (No. 216)
Asymmetric unit:
Li 0.0000 0.0000 0.0000  4 Si 2.88
Si 0.2500 0.2500 0.2500  4 Pb 2.88, 4 Li 2.88
Pb 0.0000 0.0000 0.5000  4 Si 2.88



(9)
Below is a geometry-optimized Zn2CrTc structure, with properties calculated at the GGA-PBE level.

Summary:
Formation energy from the elements   0.14 eV per atom
Offset from the most stable computed form   102.8 meV per atom

Lattice parameters (Å, degrees): 3.1649 4.0492 8.5687 90.00 90.00 90.00
With the nearest neighbours (Å) after each atom.
Space group Immm (No. 71)
Asymmetric unit:
Zn 0.0000 0.0000 0.2464  4 Zn 2.57, 2 Cr 2.64, 2 Tc 2.69
Cr 0.0000 0.5000 0.5000  4 Tc 2.57, 4 Zn 2.64
Tc 0.0000 0.5000 0.0000  4 Cr 2.57, 4 Zn 2.69



(10)
Below is a geometry-optimized ZrMn2Cu structure, with properties calculated at the GGA-PBE level.

Summary:
Formation energy from the elements   0.07 eV per atom

Lattice parameters (Å, degrees): 3.9480 3.9480 3.7883 90.00 90.00 90.00
With the nearest neighbours (Å) after each atom.
Space group P4/mmm (No. 123)
Asymmetric unit:
Zr 0.0000 0.0000 0.0000  8 Mn 2.74, 4 Cu 2.79
Mn 0.0000 0.5000 0.5000  4 Zr 2.74, 4 Cu 2.74, 4 Mn 2.79
Cu 0.5000 0.5000 0.0000  8 Mn 2.74, 4 Zr 2.79



(11)
Below is a geometry-optimized Ho2Zn5Ge structure, with properties calculated at the GGA-PBE level.

Summary:
Formation energy from the elements   -0.44 eV per atom

Lattice parameters (Å, degrees): 4.2619 15.8097 8.8107 90.00 90.00 90.00
With the nearest neighbours (Å) after each atom.
Space group Cmcm (No. 63)
Asymmetric unit:
Ho 0.0000 0.0000 0.0000  10 Zn 3.12-3.47, 4 Ge 3.17
Ho 0.0000 0.1983 0.2500  11 Zn 3.01-3.15, 2 Ge 3.14
Zn 0.0000 0.1883 0.6067  4 Zn 2.50-2.66
Zn 0.0000 0.3502 0.5245  4 Zn 2.50-2.66, 1 Ge 2.52
Zn 0.0000 0.3964 0.2500  1 Ge 2.46, 2 Zn 2.53
Ge 0.0000 0.4480 0.7500  3 Zn 2.46-2.52



(12)
Below is a geometry-optimized BaLa2Tl structure, with properties calculated at the GGA-PBE level.

Summary:
Formation energy from the elements   0.07 eV per atom
Offset from the most stable computed form   213.9 meV per atom

Lattice parameters (Å, degrees): 4.9972 4.9972 24.5113 90.00 90.00 90.00
With the nearest neighbours (Å) after each atom.
Space group I-42d (No. 122)
Asymmetric unit:
Ba 0.0000 0.0000 0.0000  4 Tl 3.53, 4 La 3.62
La 0.2057 0.2500 0.6250  2 La 3.24, 2 Tl 3.46, 2 Ba 3.62
Tl 0.0000 0.0000 0.5000  4 La 3.46, 4 Ba 3.53